Material: CsK2NiO
Method: DFT, GGA-PBEsol
State: optimized geometry

Cell lengths 5.5208, 5.5208, 5.2433 Å; angles 90.00, 90.00, 90.00 degrees
Last column: nearest neighbours and their distance in Å.
Element x y z (fractional)
Cs: 0.0000 0.0000 0.0000  2 Ni 2.62
K: 0.0000 0.5000 0.5000  2 Ni 2.76
K: 0.5000 0.0000 0.5000  2 Ni 2.76
Ni: 0.0000 0.0000 0.5000  2 Cs 2.62, 4 K 2.76
O: 0.5000 0.5000 0.0000  8 K 3.81, 4 Cs 3.90

ΔE_f (raw) = 0.515 eV per atom
SG = P4/mmm (123)
electronic total energy = -2.4082 eV per atom
density = 2.970 g/cm³